The following is a GGA+U calculation of a geometry-optimized Rb3MnRe2O8 structure, from the Alexandria database.

Properties
Magnetic moment   8.014 μB per formula unit
DOS at the Fermi energy   8.8 states/eV/cell
Energy   -96.8 eV per cell
Symmetry   P-3m1, No. 164

Unit cell a=6.060 b=6.060 c=8.001 alpha=90.00 beta=90.00 gamma=120.00
Sites, in units of the cell vectors:
1 Rb 0.333 0.667 0.671
2 Rb 0.667 0.333 0.329
3 Rb 0.000 0.000 0.000
4 Mn 0.000 0.000 0.500
5 Re 0.333 0.667 0.240
6 Re 0.667 0.333 0.760
7 O 0.333 0.667 0.016
8 O 0.667 0.333 0.984
9 O 0.171 0.829 0.331
10 O 0.829 0.171 0.669
11 O 0.171 0.341 0.331
12 O 0.829 0.659 0.669
13 O 0.659 0.829 0.331
14 O 0.341 0.171 0.669